Record 1
# TmAuNO PBE optimized geometry
data_TmAuNO
_chemical_formula_sum 'Tm2 Au2 N2 O2'
_cell_length_a 4.868
_cell_length_b 4.868
_cell_length_c 4.472
_cell_angle_alpha 90.00
_cell_angle_beta 90.00
_cell_angle_gamma 90.00
_space_group_name_H-M_alt 'P 1'
_space_group_IT_number 1
loop_
_space_group_symop_operation_xyz
'x,y,z'
loop_
_atom_site_label
_atom_site_type_symbol
_atom_site_fract_x
_atom_site_fract_y
_atom_site_fract_z
Tm1 Tm 0.250 0.750 0.000
Tm2 Tm 0.750 0.250 0.000
Au1 Au 0.250 0.250 0.498
Au2 Au 0.750 0.750 0.502
N1 N 0.250 0.250 0.998
N2 N 0.750 0.750 0.002
O1 O 0.250 0.750 0.500
O2 O 0.750 0.250 0.500
# calculated total energy	-49.85	eV/cell


Record 2
# Co2Cl PBE optimized geometry
data_Co2Cl
_chemical_formula_sum 'Co4 Cl2'
_cell_length_a 5.002
_cell_length_b 5.002
_cell_length_c 5.002
_cell_angle_alpha 60.00
_cell_angle_beta 60.00
_cell_angle_gamma 60.00
_space_group_name_H-M_alt 'P 1'
_space_group_IT_number 1
loop_
_space_group_symop_operation_xyz
'x,y,z'
loop_
_atom_site_label
_atom_site_type_symbol
_atom_site_fract_x
_atom_site_fract_y
_atom_site_fract_z
Co1 Co 0.000 0.000 0.000
Co2 Co 0.000 0.000 0.500
Co3 Co 0.000 0.500 0.000
Co4 Co 0.500 0.000 0.000
Cl1 Cl 0.375 0.375 0.375
Cl2 Cl 0.625 0.625 0.625
# calculated total energy	-27.63	eV/cell


Record 3
# PrYCd PBE optimized geometry
data_PrYCd
_chemical_formula_sum 'Pr1 Y1 Cd1'
_cell_length_a 5.179
_cell_length_b 5.179
_cell_length_c 5.179
_cell_angle_alpha 60.00
_cell_angle_beta 60.00
_cell_angle_gamma 60.00
_space_group_name_H-M_alt 'P 1'
_space_group_IT_number 1
loop_
_space_group_symop_operation_xyz
'x,y,z'
loop_
_atom_site_label
_atom_site_type_symbol
_atom_site_fract_x
_atom_site_fract_y
_atom_site_fract_z
Pr1 Pr 0.000 0.000 0.000
Y1 Y 0.250 0.250 0.250
Cd1 Cd 0.750 0.750 0.750
# calculated total energy	-10.69	eV/cell
# formation enthalpy at 0 K	483	meV per atom


Record 4
# LiGaMoOs PBE optimized geometry
data_LiGaMoOs
_chemical_formula_sum 'Li1 Ga1 Mo1 Os1'
_cell_length_a 4.289
_cell_length_b 4.289
_cell_length_c 4.289
_cell_angle_alpha 60.00
_cell_angle_beta 60.00
_cell_angle_gamma 60.00
_space_group_name_H-M_alt 'P 1'
_space_group_IT_number 1
loop_
_space_group_symop_operation_xyz
'x,y,z'
loop_
_atom_site_label
_atom_site_type_symbol
_atom_site_fract_x
_atom_site_fract_y
_atom_site_fract_z
Li1 Li 0.000 0.000 0.000
Ga1 Ga 0.750 0.750 0.750
Mo1 Mo 0.250 0.250 0.250
Os1 Os 0.500 0.500 0.500
# calculated total energy	-27.80	eV/cell


Record 5
# KAuO12F4 PBE optimized geometry
data_KAuO12F4
_chemical_formula_sum 'K1 Au1 O12 F4'
_cell_length_a 5.315
_cell_length_b 6.115
_cell_length_c 7.507
_cell_angle_alpha 67.98
_cell_angle_beta 86.75
_cell_angle_gamma 67.77
_space_group_name_H-M_alt 'P 1'
_space_group_IT_number 1
loop_
_space_group_symop_operation_xyz
'x,y,z'
loop_
_atom_site_label
_atom_site_type_symbol
_atom_site_fract_x
_atom_site_fract_y
_atom_site_fract_z
K1 K 0.000 0.000 0.000
Au1 Au 0.769 0.402 0.360
O1 O 0.027 0.635 0.496
O2 O 0.244 0.101 0.610
O3 O 0.260 0.101 0.272
O4 O 0.335 0.201 0.115
O5 O 0.442 0.045 0.523
O6 O 0.516 0.993 0.944
O7 O 0.576 0.752 0.989
O8 O 0.720 0.208 0.635
O9 O 0.721 0.595 0.746
O10 O 0.788 0.690 0.430
O11 O 0.844 0.599 0.092
O12 O 0.969 0.530 0.762
F1 F 0.149 0.818 0.736
F2 F 0.322 0.593 0.262
F3 F 0.476 0.388 0.674
F4 F 0.770 0.135 0.264
# calculated total energy	-73.26	eV/cell


Record 6
# InAgIrSe3 PBE optimized geometry
data_InAgIrSe3
_chemical_formula_sum 'In2 Ag2 Ir2 Se6'
_cell_length_a 7.615
_cell_length_b 7.615
_cell_length_c 9.996
_cell_angle_alpha 90.00
_cell_angle_beta 90.00
_cell_angle_gamma 150.71
_space_group_name_H-M_alt 'P 1'
_space_group_IT_number 1
loop_
_space_group_symop_operation_xyz
'x,y,z'
loop_
_atom_site_label
_atom_site_type_symbol
_atom_site_fract_x
_atom_site_fract_y
_atom_site_fract_z
In1 In 0.177 0.823 0.750
In2 In 0.823 0.177 0.250
Ag1 Ag 0.179 0.821 0.250
Ag2 Ag 0.821 0.179 0.750
Ir1 Ir 0.500 0.500 0.000
Ir2 Ir 0.500 0.500 0.500
Se1 Se 0.109 0.891 0.018
Se2 Se 0.109 0.891 0.482
Se3 Se 0.455 0.545 0.250
Se4 Se 0.545 0.455 0.750
Se5 Se 0.891 0.109 0.518
Se6 Se 0.891 0.109 0.982
# calculated total energy	-52.11	eV/cell


Record 7
# Ho4Ga12Ir PBE optimized geometry
data_Ho4Ga12Ir
_chemical_formula_sum 'Ho4 Ga12 Ir1'
_cell_length_a 7.434
_cell_length_b 7.434
_cell_length_c 7.434
_cell_angle_alpha 109.47
_cell_angle_beta 109.47
_cell_angle_gamma 109.47
_space_group_name_H-M_alt 'P 1'
_space_group_IT_number 1
loop_
_space_group_symop_operation_xyz
'x,y,z'
loop_
_atom_site_label
_atom_site_type_symbol
_atom_site_fract_x
_atom_site_fract_y
_atom_site_fract_z
Ho1 Ho 0.000 0.000 0.500
Ho2 Ho 0.000 0.500 0.000
Ho3 Ho 0.500 0.000 0.000
Ho4 Ho 0.500 0.500 0.500
Ga1 Ga 0.000 0.293 0.293
Ga2 Ga 0.000 0.707 0.707
Ga3 Ga 0.250 0.500 0.750
Ga4 Ga 0.250 0.750 0.500
Ga5 Ga 0.293 0.000 0.293
Ga6 Ga 0.293 0.293 0.000
Ga7 Ga 0.500 0.250 0.750
Ga8 Ga 0.500 0.750 0.250
Ga9 Ga 0.707 0.000 0.707
Ga10 Ga 0.707 0.707 0.000
Ga11 Ga 0.750 0.250 0.500
Ga12 Ga 0.750 0.500 0.250
Ir1 Ir 0.000 0.000 0.000
# calculated total energy	-73.67	eV/cell


Record 8
# PmSmNp PBE optimized geometry
data_PmSmNp
_chemical_formula_sum 'Pm1 Sm1 Np1'
_cell_length_a 5.270
_cell_length_b 5.270
_cell_length_c 5.270
_cell_angle_alpha 60.00
_cell_angle_beta 60.00
_cell_angle_gamma 60.00
_space_group_name_H-M_alt 'P 1'
_space_group_IT_number 1
loop_
_space_group_symop_operation_xyz
'x,y,z'
loop_
_atom_site_label
_atom_site_type_symbol
_atom_site_fract_x
_atom_site_fract_y
_atom_site_fract_z
Pm1 Pm 0.000 0.000 0.000
Sm1 Sm 0.250 0.250 0.250
Np1 Np 0.750 0.750 0.750
# calculated total energy	-18.76	eV/cell
# formation enthalpy at 0 K	1154	meV per atom


Look up the calculated total energy of the third one.
-10.69 eV/cell


The lowest calculated total energy belongs to which entry?
Ho4Ga12Ir


Look up the calculated total energy of the seventh one.
-73.67 eV/cell